Entry from the Alexandria database: a geometry-optimized LaGdRuPt structure (PBE).

```
data_LaGdRuPt
_symmetry_space_group_name_H-M 'F -4 3 m'
_symmetry_Int_Tables_number 216
_symmetry_space_group_name_Hall 'F -4 2 3'
_cell_length_a 7.0941
_cell_length_b 7.0941
_cell_length_c 7.0941
_cell_angle_alpha 90.00
_cell_angle_beta 90.00
_cell_angle_gamma 90.00
loop_
_atom_site_label
_atom_site_fract_x
_atom_site_fract_y
_atom_site_fract_z
La1 0.0000 0.0000 0.0000
Gd1 0.0000 0.0000 0.5000
Ru1 0.2500 0.2500 0.2500
Pt1 0.2500 0.2500 0.7500
```

# PBE ThNpSb2, relaxed
# energy relative to the lowest polymorph listed for this composition: 0.000 eV/atom
# energy relative to the elements, uncorrected: -0.572 eV/atom
data_ThNpSb2
_symmetry_space_group_name_H-M 'R -3 m'
_symmetry_Int_Tables_number 166
_symmetry_space_group_name_Hall '-R 3 2"'
_cell_length_a 4.4733
_cell_length_b 4.4733
_cell_length_c 21.7448
_cell_angle_alpha 90.00
_cell_angle_beta 90.00
_cell_angle_gamma 120.00
loop_
_atom_site_label
_atom_site_fract_x
_atom_site_fract_y
_atom_site_fract_z
Th1 0.0000 0.0000 0.0000
Np1 0.0000 0.0000 0.5000
Sb1 0.0000 0.0000 0.2476

# PBE La6FePt2I3, relaxed
# energy relative to the elements, uncorrected: -1.004 eV/atom
data_La6FePt2I3
_symmetry_space_group_name_H-M 'C 1 2/m 1'
_symmetry_Int_Tables_number 12
_cell_length_a 7.3809
_cell_length_b 12.7844
_cell_length_c 8.5837
_cell_angle_alpha 90.00
_cell_angle_beta 106.63
_cell_angle_gamma 90.00
loop_
_symmetry_equiv_pos_as_xyz
'x,y,z'
'-x,-y,-z'
'-x,y,-z'
'x,-y,z'
'x+1/2,y+1/2,z'
'-x+1/2,-y+1/2,-z'
'-x+1/2,y+1/2,-z'
'x+1/2,-y+1/2,z'
loop_
_atom_site_label
_atom_site_fract_x
_atom_site_fract_y
_atom_site_fract_z
La1 0.2185 0.1568 0.1850
La2 0.2478 0.5000 0.1856
Fe1 0.0000 0.0000 0.0000
Pt1 0.0000 0.3333 0.0000
I1 0.0000 0.1665 0.5000
I2 0.0000 0.5000 0.5000

| no. | uncorrected energy (eV per atom) | V (Å³ per cell) |
| --- | --- | --- |
| 1 | -9.20 | 357.0 |
| 2 | -7.72 | 376.8 |
| 3 | -5.57 | 776.1 |